Entry 1:
{
  "formula": "La2TiMo",
  "functional": "PBE",
  "state": "relaxed",
  "cell": [[-8.080, -2.041, -0.963], [0.391, -4.790, 6.876], [-4.628, -1.099, 4.616]],
  "species": ["Mo", "Mo", "Ti", "Ti", "La", "La", "La", "La"],
  "frac_coords": [[0.000, 0.000, 0.000], [0.750, 0.250, 0.500], [0.500, 0.500, 0.000], [0.250, 0.750, 0.500], [0.678, 0.125, 0.250], [0.072, 0.625, 0.250], [0.375, 0.322, 0.750], [0.875, 0.928, 0.750]],
  "magmom_total_mub_per_atom": 0.23,
  "relative_energy_ev_per_atom": 0.276,
  "final_energy_ev_per_cell": -50.5,
  "ef_ev_per_atom": 0.83
}

---

Entry 2:
{
  "formula": "La2TiMo",
  "functional": "PBE",
  "state": "relaxed",
  "cell": [[0.000, 3.673, 3.673], [3.673, 0.000, 3.673], [3.673, 3.673, 0.000]],
  "species": ["Mo", "Ti", "La", "La"],
  "frac_coords": [[0.500, 0.500, 0.500], [0.000, 0.000, 0.000], [0.250, 0.250, 0.250], [0.750, 0.750, 0.750]],
  "magmom_total_mub_per_atom": 0.26,
  "relative_energy_ev_per_atom": 0.000,
  "final_energy_ev_per_cell": -26.4,
  "ef_ev_per_atom": 0.56
}

---

Entry 3:
{
  "formula": "LaTiMo3",
  "functional": "PBE",
  "state": "relaxed",
  "cell": [[-2.791, 0.089, 3.851], [-1.157, -4.555, -0.733], [3.674, -1.367, 2.694]],
  "species": ["Mo", "Mo", "Mo", "Ti", "La"],
  "frac_coords": [[0.000, 0.500, 0.000], [0.000, 0.000, 0.500], [0.500, 0.000, 0.000], [0.000, 0.000, 0.000], [0.500, 0.500, 0.500]],
  "magmom_total_mub_per_atom": 0.00,
  "relative_energy_ev_per_atom": 0.000,
  "final_energy_ev_per_cell": -39.9,
  "ef_ev_per_atom": 1.08
}

---

Entry 4:
{
  "formula": "LaTiMo2W",
  "functional": "PBE",
  "state": "relaxed",
  "cell": [[4.791, 0.000, 0.000], [0.000, 4.791, 0.000], [0.000, 0.000, 4.746]],
  "species": ["Mo", "Mo", "Ti", "W", "La"],
  "frac_coords": [[0.000, 0.500, 0.000], [0.500, 0.000, 0.000], [0.000, 0.000, 0.000], [0.000, 0.000, 0.500], [0.500, 0.500, 0.500]],
  "magmom_total_mub_per_atom": 0.28,
  "final_energy_ev_per_cell": -41.5,
  "ef_ev_per_atom": 1.19
}

---

Entry 5:
{
  "formula": "LaTi2ZnMo",
  "functional": "PBE",
  "state": "relaxed",
  "cell": [[4.723, 0.000, 0.000], [0.000, 5.181, 0.000], [0.000, 0.000, 4.723]],
  "species": ["Mo", "Ti", "Ti", "Zn", "La"],
  "frac_coords": [[0.000, 0.000, 0.000], [0.000, 0.000, 0.500], [0.500, 0.000, 0.000], [0.000, 0.500, 0.000], [0.500, 0.500, 0.500]],
  "magmom_total_mub_per_atom": 0.07,
  "final_energy_ev_per_cell": -31.2,
  "ef_ev_per_atom": 0.32
}

---

Entry 6:
{
  "formula": "LaTl2Mo",
  "functional": "PBE",
  "state": "relaxed",
  "cell": [[-1.782, -4.110, -0.757], [1.512, -1.399, 4.049], [-4.232, 1.451, 2.082]],
  "species": ["La", "Mo", "Tl", "Tl"],
  "frac_coords": [[0.500, 0.000, 0.500], [0.000, 0.500, 0.500], [0.000, 0.000, 0.000], [0.500, 0.500, 0.000]],
  "magmom_total_mub_per_atom": 0.49,
  "relative_energy_ev_per_atom": 0.096,
  "final_energy_ev_per_cell": -18.9,
  "ef_ev_per_atom": 0.41
}

---

Entry 7:
{
  "formula": "La3TlMo",
  "functional": "PBE",
  "state": "relaxed",
  "cell": [[5.494, 0.000, 0.000], [0.000, 5.494, 0.000], [0.000, 0.000, 5.494]],
  "species": ["Tl", "Mo", "La", "La", "La"],
  "frac_coords": [[0.500, 0.500, 0.500], [0.000, 0.000, 0.000], [0.000, 0.500, 0.000], [0.000, 0.000, 0.500], [0.500, 0.000, 0.000]],
  "magmom_total_mub_per_atom": 0.00,
  "relative_energy_ev_per_atom": 0.000,
  "final_energy_ev_per_cell": -27.5,
  "ef_ev_per_atom": 0.10
}

---

Entry 8:
{
  "formula": "LaTl2Mo",
  "functional": "PBE",
  "state": "relaxed",
  "cell": [[-2.865, -1.432, 1.223], [1.491, -3.085, -0.120], [2.775, 1.041, 7.720]],
  "species": ["La", "Mo", "Tl", "Tl"],
  "frac_coords": [[0.500, 0.500, 0.250], [0.500, 0.500, 0.750], [0.000, 0.000, 0.961], [0.000, 0.000, 0.539]],
  "magmom_total_mub_per_atom": 0.31,
  "relative_energy_ev_per_atom": 0.015,
  "final_energy_ev_per_cell": -19.2,
  "ef_ev_per_atom": 0.33
}

---

Entry 9:
{
  "formula": "LaTl4Mo",
  "functional": "PBE",
  "state": "relaxed",
  "cell": [[3.449, -0.991, 5.036], [-2.696, -0.520, 5.541], [-0.187, -5.488, 2.845]],
  "species": ["La", "Tl", "Tl", "Tl", "Tl", "Mo"],
  "frac_coords": [[0.750, 0.750, 0.750], [0.877, 0.374, 0.374], [0.374, 0.374, 0.877], [0.374, 0.877, 0.374], [0.374, 0.374, 0.374], [0.000, 0.000, 0.000]],
  "magmom_total_mub_per_atom": 0.44,
  "final_energy_ev_per_cell": -22.0,
  "ef_ev_per_atom": 0.53
}

---

Entry 10:
{
  "formula": "LaTl2Mo",
  "functional": "PBE",
  "state": "relaxed",
  "cell": [[3.633, 0.000, 0.000], [0.000, 3.629, 0.000], [0.000, 0.000, 8.004]],
  "species": ["La", "Mo", "Tl", "Tl"],
  "frac_coords": [[0.000, 0.000, 0.545], [0.500, 0.500, 0.779], [0.000, 0.000, 0.954], [0.500, 0.500, 0.222]],
  "magmom_total_mub_per_atom": 0.24,
  "relative_energy_ev_per_atom": 0.084,
  "final_energy_ev_per_cell": -18.9,
  "ef_ev_per_atom": 0.39
}

---

Entry 11:
{
  "formula": "LaTl2Mo",
  "functional": "PBE",
  "state": "relaxed",
  "cell": [[5.572, 0.017, 0.000], [1.648, 5.323, 0.000], [-3.610, -2.670, 3.300]],
  "species": ["La", "Mo", "Tl", "Tl"],
  "frac_coords": [[0.250, 0.750, 0.500], [0.750, 0.250, 0.500], [0.000, 0.000, 0.000], [0.500, 0.500, 0.000]],
  "magmom_total_mub_per_atom": 0.00,
  "relative_energy_ev_per_atom": 0.000,
  "final_energy_ev_per_cell": -19.2,
  "ef_ev_per_atom": 0.31
}

---

Entry 12:
{
  "formula": "LaTl2Mo",
  "functional": "PBE",
  "state": "relaxed",
  "cell": [[-6.747, -7.225, 3.952], [-4.973, -6.657, 6.655], [-7.503, -4.701, 5.911]],
  "species": ["La", "Mo", "Tl", "Tl"],
  "frac_coords": [[0.250, 0.250, 0.250], [0.750, 0.750, 0.750], [0.010, 0.010, 0.010], [0.490, 0.490, 0.490]],
  "magmom_total_mub_per_atom": 0.07,
  "relative_energy_ev_per_atom": 0.125,
  "final_energy_ev_per_cell": -18.8,
  "ef_ev_per_atom": 0.44
}